Computed, not measured: NaV3P2O13 after structural relaxation at the PBE with a Hubbard U level of DFT.

Cell and atoms, written as POSCAR:
```
NaV3P2O13
1.0
8.533 0.000 0.000
0.000 10.408 0.000
0.000 0.000 12.159
O P V Na
52 8 12 4
direct
0.222 0.922 0.638
0.636 0.249 0.750
0.500 0.441 0.289
0.214 0.571 0.855
0.392 0.641 0.590
0.778 0.422 0.362
0.632 0.636 0.372
0.127 0.890 0.162
0.286 0.071 0.355
0.868 0.136 0.872
0.996 0.561 0.709
0.108 0.141 0.090
0.911 0.858 0.587
0.892 0.641 0.910
0.000 0.941 0.789
0.786 0.071 0.145
0.714 0.571 0.645
0.722 0.922 0.862
0.131 0.862 0.377
0.439 0.559 0.991
0.136 0.249 0.750
0.447 0.947 0.508
0.608 0.141 0.410
0.125 0.613 0.345
0.873 0.390 0.838
0.553 0.447 0.492
0.411 0.858 0.913
0.132 0.636 0.128
0.864 0.749 0.250
0.368 0.136 0.628
0.496 0.561 0.791
0.364 0.749 0.250
0.053 0.447 0.008
0.561 0.059 0.009
0.000 0.441 0.211
0.061 0.059 0.491
0.500 0.941 0.711
0.947 0.947 0.992
0.939 0.559 0.509
0.089 0.358 0.413
0.631 0.862 0.123
0.504 0.061 0.209
0.627 0.890 0.338
0.869 0.362 0.623
0.278 0.422 0.138
0.004 0.061 0.291
0.369 0.362 0.877
0.625 0.613 0.155
0.373 0.390 0.662
0.589 0.358 0.087
0.375 0.113 0.845
0.875 0.113 0.655
0.385 0.988 0.621
0.885 0.988 0.879
0.615 0.488 0.379
0.378 0.511 0.878
0.878 0.511 0.622
0.115 0.488 0.121
0.622 0.011 0.122
0.122 0.011 0.378
0.506 0.980 0.866
0.827 0.250 0.752
0.673 0.750 0.252
0.994 0.480 0.366
0.501 0.023 0.367
0.173 0.750 0.248
0.499 0.523 0.633
0.006 0.980 0.634
0.327 0.250 0.748
0.494 0.480 0.134
0.001 0.023 0.133
0.999 0.523 0.867
0.644 0.715 0.963
0.856 0.215 0.463
0.144 0.715 0.537
0.356 0.215 0.037
```

Calculated values
The value obtained for the final energy is -7.207 eV per atom. Its total magnetization is 0.00 μB/f.u. As for the space-group type: Pna2_1 (33).